# 1
# La3Cu6P5

An optimized crystal structure of La3Cu6P5 (PBE-GGA, Alexandria).

abc: 4.007 12.257 9.825
angles: 90.00 90.00 90.00
Space group Pmmn (No. 59, origin choice 2)
Unique sites:
La1 0.250 0.090 0.248 [4 per cell]
La2 0.250 0.750 0.250 [2 per cell]
Cu1 0.250 0.066 0.897 [4 per cell]
Cu2 0.250 0.250 0.002 [2 per cell]
Cu3 0.250 0.250 0.510 [2 per cell]
Cu4 0.250 0.579 0.494 [4 per cell]
P1 0.250 0.079 0.649 [4 per cell]
P2 0.250 0.617 0.987 [4 per cell]
P3 0.250 0.750 0.623 [2 per cell]

Summary:
Formation enthalpy at 0 K in meV/atom: -743.0
V in A^3/atom: 17.23
Total DFT energy (no corrections) in eV/atom: -5.4865

=====

# 2
# Ba6Tl3Ag

An optimized crystal structure of Ba6Tl3Ag (PBE-GGA, Alexandria).

abc: 11.335 5.720 14.193
angles: 90.00 109.97 90.00
Space group P2_1/m (No. 11)
Unique sites:
Ba1 0.006 0.250 0.114 [2 per cell]
Ba2 0.140 0.250 0.707 [2 per cell]
Ba3 0.215 0.750 0.533 [2 per cell]
Ba4 0.356 0.750 0.135 [2 per cell]
Ba5 0.378 0.250 0.373 [2 per cell]
Ba6 0.394 0.750 0.867 [2 per cell]
Tl1 0.058 0.250 0.383 [2 per cell]
Tl2 0.163 0.750 0.275 [2 per cell]
Tl3 0.263 0.250 0.977 [2 per cell]
Ag1 0.411 0.250 0.638 [2 per cell]

Summary:
Formation enthalpy at 0 K in meV/atom: -282.3
V in A^3/atom: 43.24
Total DFT energy (no corrections) in eV/atom: -2.4310

=====

# 3
# MgInSi

An optimized crystal structure of MgInSi (PBE-GGA, Alexandria).

abc: 4.9711 4.9711 2.9005
angles: 90.00 90.00 120.00
Space group P3m1 (No. 156)
Unique sites:
Mg1 0.0000 0.0000 0.0000 [1 per cell]
In1 0.6667 0.3333 0.5024 [1 per cell]
Si1 0.3333 0.6667 0.5035 [1 per cell]

Summary:
ΔE_f (raw) in kJ/mol of atoms: 18
V in A^3/atom: 20.69
Total DFT energy (no corrections) in eV/atom: -3.0674

=====

# 4
# LiHf2H8

An optimized crystal structure of LiHf2H8 (PBE-GGA, Alexandria).

abc: 3.321 4.556 10.036
angles: 90.00 90.00 90.00
Space group Immm (No. 71)
Unique sites:
Li1 0.000 0.000 0.000 [2 per cell]
Hf1 0.000 0.000 0.334 [4 per cell]
H1 0.000 0.237 0.500 [4 per cell]
H2 0.000 0.257 0.153 [8 per cell]
H3 0.000 0.500 0.322 [4 per cell]

Summary:
V in A^3/atom: 6.90
Total DFT energy (no corrections) in eV/atom: -4.7428

=====

# 5
# Ce2DySc

An optimized crystal structure of Ce2DySc (PBE-GGA, Alexandria).

abc: 3.4093 3.4093 33.4907
angles: 90.00 90.00 120.00
Space group R-3m (No. 166, hexagonal axes)
Unique sites:
Ce1 0.0000 0.0000 0.2472 [6 per cell]
Dy1 0.0000 0.0000 0.0000 [3 per cell]
Sc1 0.0000 0.0000 0.5000 [3 per cell]

Summary:
Formation enthalpy at 0 K in meV/atom: 89.8
V in A^3/atom: 28.09
Total DFT energy (no corrections) in eV/atom: -5.6105

=====

# 6
# Ba3Sr4Ac

An optimized crystal structure of Ba3Sr4Ac (PBE-GGA, Alexandria).

abc: 30.396 4.038 7.468
angles: 90.00 93.91 90.00
Space group C2/m (No. 12)
Unique sites:
Ba1 0.000 0.000 0.000 [2 per cell]
Ba2 0.139 0.000 0.225 [4 per cell]
Sr1 0.104 0.000 0.706 [4 per cell]
Sr2 0.223 0.500 0.741 [4 per cell]
Ac1 0.000 0.500 0.500 [2 per cell]

Summary:
Formation enthalpy at 0 K in meV/atom: 176.0
V in A^3/atom: 57.15
Total DFT energy (no corrections) in eV/atom: -1.8995

=====

Which value of total DFT energy (no corrections) does entry 2 give?
-2.4310 eV/atom